1.
This record from Alexandria via LeMat-Bulk describes an optimized crystal structure of K5Ag3. The functional is PBE.

Unit cell a=13.603 b=10.258 c=10.226 alpha=83.22 beta=48.49 gamma=48.29
Atoms (fractional coordinates):
K 0.083 0.291 0.709
K 0.209 0.583 0.417
K 0.250 0.750 0.750
K 0.291 0.083 0.917
K 0.417 0.791 0.209
K 0.583 0.209 0.791
K 0.709 0.917 0.083
K 0.750 0.250 0.250
K 0.791 0.417 0.583
K 0.917 0.709 0.291
Ag 0.158 0.842 0.158
Ag 0.250 0.250 0.250
Ag 0.342 0.342 0.658
Ag 0.658 0.658 0.342
Ag 0.750 0.750 0.750
Ag 0.842 0.158 0.842

Calculated formation energy: 0.06 eV per atom
Total DFT energy (no corrections): -1.70 eV per atom
Symmetry: Fmmm

2.
This record from Alexandria via LeMat-Bulk describes an optimized crystal structure of LiCa6Mg2. The functional is PBE.

Unit cell a=10.654 b=10.654 c=5.495 alpha=90.00 beta=90.00 gamma=90.00
Atoms (fractional coordinates):
Li 0.000 0.000 0.000
Li 0.500 0.500 0.500
Ca 0.029 0.316 0.000
Ca 0.125 0.875 0.500
Ca 0.184 0.529 0.500
Ca 0.316 0.029 0.000
Ca 0.375 0.375 0.000
Ca 0.471 0.816 0.500
Ca 0.529 0.184 0.500
Ca 0.625 0.625 0.000
Ca 0.684 0.971 0.000
Ca 0.816 0.471 0.500
Ca 0.875 0.125 0.500
Ca 0.971 0.684 0.000
Mg 0.202 0.202 0.500
Mg 0.298 0.702 0.000
Mg 0.702 0.298 0.000
Mg 0.798 0.798 0.500

Calculated formation energy: -0.02 eV per atom
Total DFT energy (no corrections): -1.93 eV per atom
Symmetry: P4_2/mnm

3.
This record from Alexandria via LeMat-Bulk describes an optimized crystal structure of YAl2Te. The functional is PBE.

Unit cell a=6.286 b=6.283 c=4.268 alpha=70.19 beta=70.11 gamma=39.70
Atoms (fractional coordinates):
Y 0.000 0.000 0.000
Al 0.000 0.500 0.500
Al 0.500 0.000 0.000
Te 0.500 0.500 0.500

ΔE_f (raw): -0.324 eV/atom
Total DFT energy (no corrections): -4.60 eV per atom
Symmetry: Fmmm